No. 1
DFT (PBE) results for a geometry-optimized Mn2MoCl structure.

The structure in POSCAR format:
```
Mn2MoCl
1.0
-0.099 -2.908 -0.342
4.355 0.024 -1.463
1.395 -0.535 4.146
Mn Mo Cl
2 1 1
direct
0.500 0.500 0.000
0.000 0.000 0.000
0.500 0.000 0.500
0.000 0.500 0.500
```

Results
Magnetic moment, μB/atom: 1.268
Raw total energy, eV/atom: -7.095
D(E_F), states/eV/f.u.: 3.36
Space-group type: Pmmm (47)
E_form (uncorrected), eV per atom: 0.659

***

No. 2
DFT (PBE) results for a geometry-optimized BeCr2Ag structure.

The structure in POSCAR format:
```
BeCr2Ag
1.0
4.777 -0.004 -0.112
1.821 4.416 0.112
-2.792 -2.964 2.500
Be Cr Ag
1 2 1
direct
0.251 0.751 0.500
0.763 0.263 0.500
0.003 0.003 0.000
0.484 0.484 0.000
```

Results
Magnetic moment, μB/atom: 0.017
Raw total energy, eV/atom: -6.042
D(E_F), states/eV/f.u.: 2.08
Space-group type: Imm2 (44)
Energy of formation from the pure elements, eV per atom: 0.4143

***

No. 3
DFT (PBE) results for a geometry-optimized Nd6Dy3Sc structure.

The structure in POSCAR format:
```
Nd6Dy3Sc
1.0
6.285 0.000 0.000
0.000 10.979 -1.684
0.000 -4.091 10.326
Nd Dy Sc
12 6 2
direct
0.417 0.956 0.044
0.356 0.056 0.478
0.356 0.522 0.944
0.545 0.623 0.710
0.917 0.044 0.956
0.856 0.944 0.522
0.652 0.277 0.723
0.152 0.723 0.277
0.856 0.478 0.056
0.045 0.710 0.623
0.545 0.290 0.377
0.045 0.377 0.290
0.960 0.052 0.277
0.460 0.948 0.723
0.460 0.277 0.052
0.073 0.385 0.615
0.573 0.615 0.385
0.960 0.723 0.948
0.121 0.201 0.799
0.621 0.799 0.201
```

Results
Magnetic moment, μB/atom: 0.000
Raw total energy, eV/atom: -4.736
D(E_F), states/eV/f.u.: 13.43
Space-group type: Cmc2_1 (36)
Energy of formation from the pure elements, eV per atom: 0.1384

***

No. 4
DFT (PBE) results for a geometry-optimized TaP2Rh structure.

The structure in POSCAR format:
```
TaP2Rh
1.0
-3.977 1.476 0.406
-1.362 -2.896 -2.813
-0.506 -1.995 2.299
Rh P Ta
1 2 1
direct
0.500 0.000 0.500
0.500 0.500 0.000
0.000 0.000 0.000
0.000 0.500 0.500
```

Results
Magnetic moment, μB/atom: 0.000
Raw total energy, eV/atom: -8.015
D(E_F), states/eV/f.u.: 1.52
Space-group type: P4/mmm (123)
Energy of formation from the pure elements, eV per atom: -0.5088